(1)
Material: CeNd3Ga3
Method: DFT, PBE
State: optimized geometry

abc: 9.4641 9.4641 4.8904
angles: 90.00 90.00 120.00
Closest atoms and distances in Å follow each position.
Space group P6_3/m (No. 176)
Unique sites:
Ce 0.3333 0.6667 0.2500 x2  9 Ga 3.33-3.38, 3 Nd 3.71
Nd 0.0165 0.2595 0.7500 x6  4 Ga 3.02-3.09
Ga 0.0631 0.6071 0.7500 x6  4 Nd 3.02-3.09, 2 Ga 3.02, 3 Ce 3.33-3.38

Output
- electronic total energy (eV per formula unit) = -31.75
- magnetization (μB per formula unit) = 1.368
- energy relative to the elements (meV per atom) = -347

***

(2)
Material: CeNd2Ga2
Method: DFT, PBE
State: optimized geometry

abc: 4.6828 6.7163 8.5931
angles: 90.00 90.00 90.00
Closest atoms and distances in Å follow each position.
Space group Immm (No. 71)
Unique sites:
Ce 0.0000 0.0000 0.0000 x2  4 Ga 3.09
Nd 0.0000 0.5000 0.2009 x4  6 Ga 3.20-3.27, 1 Nd 3.45, 2 Ce 3.48
Ga 0.0000 0.1993 0.5000 x4  1 Ga 2.68

Output
- electronic total energy (eV per formula unit) = -23.69
- magnetization (μB per formula unit) = 0.271
- energy relative to the elements (meV per atom) = -433

***

(3)
Material: Ce3NdGa4
Method: DFT, PBE
State: optimized geometry

abc: 4.7500 4.7500 8.3893
angles: 90.00 90.00 90.00
Closest atoms and distances in Å follow each position.
Space group P4/mmm (No. 123)
Unique sites:
Ce 0.0000 0.0000 0.0000 x1  8 Ga 3.16, 4 Ce 3.36
Ce 0.0000 0.0000 0.5000 x1  8 Ga 3.18, 4 Nd 3.36
Ce 0.5000 0.5000 0.0000 x1  8 Ga 3.16, 4 Ce 3.36
Nd 0.5000 0.5000 0.5000 x1  8 Ga 3.18, 4 Ce 3.36
Ga 0.0000 0.5000 0.2484 x4  6 Ce 3.16-3.18, 2 Nd 3.18, 4 Ga 3.36

Output
- electronic total energy (eV per formula unit) = -38.53
- magnetization (μB per formula unit) = 1.136
- energy relative to the elements (meV per atom) = -482